1.
Compound: CsInHPb
Source: Alexandria
Functional: PBE-GGA
Structure: optimized geometry

POSCAR file:
```
CsInHPb
1.0
5.7177 0.0000 0.0000
2.8588 2.8691 -0.2073
2.8588 0.5258 7.3549
H In Pb Cs
1 1 1 1
Cartesian
8.5765 2.5782 5.8984
8.5765 2.4387 4.0137
5.7177 2.3449 2.7050
5.7177 2.6591 7.0164
```

Values from the calculation:
D(E_F) ... 1.30 states/eV/f.u.
Electronic total energy ... -2.746 eV per atom
Crystal system ... monoclinic

***

2.
Compound: Ho2PaH
Source: Alexandria
Functional: PBE-GGA
Structure: optimized geometry

POSCAR file:
```
Ho2PaH
1.0
-2.5892 1.2336 1.4718
-1.8555 -0.9697 -2.4514
-1.2825 -7.2908 3.8547
Pa H Ho
1 1 2
Cartesian
-2.8636 -3.5134 1.4376
-2.2224 0.1320 -0.4898
-0.2510 -1.4269 0.7544
-1.0315 -5.8639 3.1003
```

Values from the calculation:
D(E_F) ... 6.15 states/eV/f.u.
ΔE to the lowest computed polymorph ... 0.091 eV/atom
Crystal system ... tetragonal

***

3.
Compound: EuAgSn
Source: Alexandria
Functional: PBE-GGA
Structure: optimized geometry

POSCAR file:
```
EuAgSn
1.0
-4.2443 -1.8179 -1.7656
-1.1411 -4.7556 0.7195
-3.6460 -1.2245 3.1053
Ag Sn Eu
1 1 1
Cartesian
-2.2578 -1.9495 0.5148
0.0000 0.0000 0.0000
-4.5157 -3.8990 1.0296
```

Values from the calculation:
D(E_F) ... 13.60 states/eV/f.u.
Calculated formation energy ... -0.382 eV/atom
Crystal system ... cubic